Record 1
Entry from the Alexandria database: an optimized crystal structure of Ti2AgI6 (PBE-GGA).

Properties
The crystal system is monoclinic. The calculated total energy is -64.867 eV per cell. The space group is C2/c. Its uncorrected formation energy is -0.499 eV/atom. As for the density of states at the Fermi level: 0.88 states/eV per atom.

The structure in POSCAR format:
```
Ti2AgI6
1.0
7.2007 0.5609 0.5430
2.8328 10.8926 -0.3052
2.8328 0.0479 10.8968
I Ag Ti
12 2 4
direct
0.0997 0.7640 0.0439
0.9003 0.2360 0.9561
0.4003 0.9561 0.2360
0.2556 0.8417 0.6525
0.0890 0.2613 0.5481
0.7556 0.6525 0.8417
0.2444 0.3475 0.1583
0.7444 0.1583 0.3475
0.5997 0.0439 0.7640
0.5890 0.5481 0.2613
0.4110 0.4519 0.7387
0.9110 0.7387 0.4519
0.2500 0.2491 0.7509
0.7500 0.7509 0.2491
0.3714 0.1813 0.3214
0.1286 0.6786 0.8187
0.8714 0.3214 0.1813
0.6286 0.8187 0.6786
```

Record 2
Entry from the Alexandria database: an optimized crystal structure of SbOsI2Cl (PBE-GGA).

Properties
The value obtained for the energy above the most stable polymorph in this dataset is 1.264 eV/atom. The crystal system is tetragonal. The calculated total energy is -11.306 eV per cell. The space group is P4/mmm. Its uncorrected formation energy is 1.799 eV/atom. As for the density of states at the Fermi level: 1.07 states/eV per atom.

The structure in POSCAR format:
```
SbOsI2Cl
1.0
5.4737 0.0000 0.0000
0.0000 5.4737 0.0000
0.0000 0.0000 5.5926
I Sb Os Cl
2 1 1 1
direct
0.5000 0.0000 0.0000
0.0000 0.5000 0.0000
0.0000 0.0000 0.5000
0.5000 0.5000 0.5000
0.0000 0.0000 0.0000
```

Record 3
Entry from the Alexandria database: an optimized crystal structure of Pa3V3Si8 (PBE-GGA).

Properties
The crystal system is orthorhombic. The calculated total energy is -104.847 eV per cell. The space group is Immm. Its uncorrected formation energy is -0.401 eV/atom. As for the density of states at the Fermi level: 0.80 states/eV per atom.

The structure in POSCAR format:
```
Pa3V3Si8
1.0
-3.3013 -0.9664 -2.4585
0.9053 -8.8504 2.2634
-2.4359 5.7046 4.6641
Si V Pa
8 3 3
direct
0.8500 0.4940 0.7000
0.3695 0.0813 0.7389
0.8500 0.2060 0.7000
0.6305 0.9187 0.2611
0.1500 0.7940 0.3000
0.1500 0.5060 0.3000
0.3695 0.6577 0.7389
0.6305 0.3423 0.2611
0.0000 0.8265 0.0000
0.5000 0.0000 0.0000
0.0000 0.1735 0.0000
0.5000 0.5000 0.0000
0.2127 0.2127 0.4254
0.7873 0.7873 0.5746
```

Record 4
Entry from the Alexandria database: an optimized crystal structure of VCdAsBr2 (PBE-GGA).

Properties
The value obtained for the energy above the most stable polymorph in this dataset is 0.000 eV/atom. The crystal system is tetragonal. The calculated total energy is -18.315 eV per cell. The space group is P4/mmm. Its uncorrected formation energy is -0.057 eV/atom. As for the density of states at the Fermi level: 0.85 states/eV per atom.

The structure in POSCAR format:
```
VCdAsBr2
1.0
5.0828 0.0000 0.0000
0.0000 5.0828 0.0000
0.0000 0.0000 5.0254
Br As V Cd
2 1 1 1
direct
0.5000 0.0000 0.0000
0.0000 0.5000 0.0000
0.0000 0.0000 0.5000
0.0000 0.0000 0.0000
0.5000 0.5000 0.5000
```

Record 5
Entry from the Alexandria database: an optimized crystal structure of SrLaOsAu2 (PBE-GGA).

Properties
The crystal system is tetragonal. The calculated total energy is -16.616 eV per cell. The space group is P4/mmm. The energy of formation from the pure elements comes out at 1.556 eV per atom. As for the density of states at the Fermi level: 1.59 states/eV per atom.

The structure in POSCAR format:
```
SrLaOsAu2
1.0
5.4117 0.0000 0.0000
0.0000 6.7477 0.0000
0.0000 0.0000 5.4117
La Os Au Sr
1 1 2 1
direct
0.0000 0.0000 0.0000
0.5000 0.5000 0.5000
0.0000 0.0000 0.5000
0.5000 0.0000 0.0000
0.0000 0.5000 0.0000
```

Record 6
Entry from the Alexandria database: an optimized crystal structure of RbNi3Mo (PBE-GGA).

Properties
The value obtained for the energy above the most stable polymorph in this dataset is 1.357 eV/atom. The crystal system is cubic. The calculated total energy is -16.594 eV per cell. The space group is Pm-3m. The energy of formation from the pure elements comes out at 2.510 eV per atom. As for the density of states at the Fermi level: 0.74 states/eV per atom.

The structure in POSCAR format:
```
RbNi3Mo
1.0
4.5806 0.0000 0.0000
0.0000 4.5806 0.0000
0.0000 0.0000 4.5806
Rb Mo Ni
1 1 3
direct
0.0000 0.0000 0.0000
0.5000 0.5000 0.5000
0.0000 0.0000 0.5000
0.5000 0.0000 0.0000
0.0000 0.5000 0.0000
```

Record 7
Entry from the Alexandria database: an optimized crystal structure of KPuAgCl5 (PBE-GGA).

Properties
The crystal system is monoclinic. The calculated total energy is -80.060 eV per cell. The space group is C2/c. Its uncorrected formation energy is -1.565 eV/atom. As for the density of states at the Fermi level: 1.16 states/eV per atom.

The structure in POSCAR format:
```
KPuAgCl5
1.0
-3.6236 6.5049 1.7844
0.5046 -4.2747 6.3325
9.6623 3.0462 -1.5504
Pu Ag Cl K
2 2 10 2
direct
0.0000 0.0000 0.5000
0.0000 0.0000 0.0000
0.6892 0.3108 0.2500
0.3108 0.6892 0.7500
0.3171 0.9211 0.6030
0.6339 0.7412 0.9393
0.2588 0.3661 0.5607
0.3661 0.2588 0.0607
0.9182 0.0818 0.7500
0.0818 0.9182 0.2500
0.9211 0.3171 0.1030
0.0789 0.6829 0.8970
0.7412 0.6339 0.4393
0.6829 0.0789 0.3970
0.6528 0.3472 0.7500
0.3472 0.6528 0.2500
```

Record 8
Entry from the Alexandria database: an optimized crystal structure of NdCdAgSn (PBE-GGA).

Properties
The crystal system is cubic. The calculated total energy is -13.815 eV per cell. The space group is F-43m. The energy of formation from the pure elements comes out at -0.319 eV per atom. As for the density of states at the Fermi level: 0.37 states/eV per atom.

The structure in POSCAR format:
```
NdCdAgSn
1.0
5.1718 0.0000 0.0000
2.5859 4.4789 0.0000
2.5859 1.4930 4.2228
Sn Ag Cd Nd
1 1 1 1
direct
0.0000 0.0000 0.0000
0.5000 0.5000 0.5000
0.7500 0.7500 0.7500
0.2500 0.2500 0.2500
```

Record 9
Entry from the Alexandria database: an optimized crystal structure of CuNi2TeN (PBE-GGA).

Properties
The crystal system is tetragonal. The calculated total energy is -18.728 eV per cell. The space group is P4/mmm. Its uncorrected formation energy is 1.680 eV/atom. As for the density of states at the Fermi level: 1.36 states/eV per atom.

The structure in POSCAR format:
```
CuNi2TeN
1.0
4.7321 0.0000 0.0000
0.0000 4.8673 0.0000
0.0000 0.0000 4.7321
Ni Te Cu N
2 1 1 1
direct
0.5000 0.0000 0.0000
0.0000 0.0000 0.5000
0.0000 0.0000 0.0000
0.0000 0.5000 0.0000
0.5000 0.5000 0.5000
```

Record 10
Entry from the Alexandria database: an optimized crystal structure of ZrSc2H (PBE-GGA).

Properties
The value obtained for the energy above the most stable polymorph in this dataset is 0.986 eV/atom. The crystal system is cubic. The calculated total energy is -21.424 eV per cell. The space group is Fm-3m. As for the density of states at the Fermi level: 0.97 states/eV per atom.

The structure in POSCAR format:
```
ZrSc2H
1.0
0.0000 3.4265 3.4265
3.4265 0.0000 3.4265
3.4265 3.4265 0.0000
H Zr Sc
1 1 2
direct
0.0000 0.0000 0.0000
0.5000 0.5000 0.5000
0.7500 0.7500 0.7500
0.2500 0.2500 0.2500
```

Record 11
Entry from the Alexandria database: an optimized crystal structure of LiTh3Tl4 (PBE-GGA).

Properties
The crystal system is tetragonal. The calculated total energy is -34.971 eV per cell. The space group is P4/mmm. The energy of formation from the pure elements comes out at -0.167 eV per atom. As for the density of states at the Fermi level: 0.90 states/eV per atom.

The structure in POSCAR format:
```
LiTh3Tl4
1.0
3.5580 0.0000 0.0000
0.0000 3.5580 0.0000
0.0000 0.0000 17.1391
Th Tl Li
3 4 1
direct
0.5000 0.5000 0.7702
0.5000 0.5000 0.2298
0.5000 0.5000 0.5000
0.0000 0.0000 0.6357
0.0000 0.0000 0.3643
0.0000 0.0000 0.9047
0.0000 0.0000 0.0953
0.5000 0.5000 0.0000
```

Record 12
Entry from the Alexandria database: an optimized crystal structure of InRhI2 (PBE-GGA).

Properties
The value obtained for the energy above the most stable polymorph in this dataset is 0.568 eV/atom. The crystal system is cubic. The calculated total energy is -11.470 eV per cell. The space group is Fm-3m. Its uncorrected formation energy is 0.430 eV/atom. As for the density of states at the Fermi level: 0.97 states/eV per atom.

The structure in POSCAR format:
```
InRhI2
1.0
-1.2056 0.9979 5.1811
0.7922 4.9421 2.0594
-4.2402 3.1275 1.2378
Rh I In
1 2 1
direct
0.0000 0.0000 0.0000
0.7500 0.7500 0.7500
0.2500 0.2500 0.2500
0.5000 0.5000 0.5000
```

Record 13
Entry from the Alexandria database: an optimized crystal structure of Pr4Nd2Tm7 (PBE-GGA).

Properties
The crystal system is triclinic. The calculated total energy is -59.650 eV per cell. The space group is P-1. The energy of formation from the pure elements comes out at 0.023 eV per atom. As for the density of states at the Fermi level: 1.34 states/eV per atom.

The structure in POSCAR format:
```
Pr4Nd2Tm7
1.0
-4.7170 -2.9162 -2.7408
10.8734 -3.2005 -3.6798
4.6230 -5.8615 2.9585
Tm Pr Nd
7 4 2
direct
0.6150 0.0765 0.1514
0.9242 0.6160 0.2336
0.3850 0.9235 0.8486
0.0758 0.3840 0.7664
0.8473 0.2310 0.4645
0.1527 0.7690 0.5355
0.0000 0.0000 0.0000
0.7723 0.8492 0.6927
0.5402 0.6969 0.3804
0.2277 0.1508 0.3073
0.4598 0.3031 0.6196
0.3080 0.5406 0.0751
0.6920 0.4594 0.9249
```